Record 1
Material: Ba6Y2Ti4O17
Method: DFT, PBE-GGA
State: optimized geometry

Cell lengths 6.0016, 6.0016, 30.0143 Å; angles 90.00, 90.00, 120.00 degrees
Sites, in units of the cell vectors:
Ba  0.0000  0.0000  0.0000
Ba  0.0000  0.0000  0.2500
Ba  0.0000  0.0000  0.5000
Ba  0.0000  0.0000  0.7500
Ba  0.3333  0.6667  0.0896
Ba  0.3333  0.6667  0.4104
Ba  0.3333  0.6667  0.6845
Ba  0.3333  0.6667  0.8155
Ba  0.6667  0.3333  0.1845
Ba  0.6667  0.3333  0.3155
Ba  0.6667  0.3333  0.5896
Ba  0.6667  0.3333  0.9104
Y  0.0000  0.0000  0.1269
Y  0.0000  0.0000  0.3731
Y  0.0000  0.0000  0.6269
Y  0.0000  0.0000  0.8731
Ti  0.3333  0.6667  0.2038
Ti  0.3333  0.6667  0.2962
Ti  0.3333  0.6667  0.5547
Ti  0.3333  0.6667  0.9453
Ti  0.6667  0.3333  0.0547
Ti  0.6667  0.3333  0.4453
Ti  0.6667  0.3333  0.7038
Ti  0.6667  0.3333  0.7962
O  0.0368  0.5184  0.2500
O  0.1681  0.3363  0.5774
O  0.1681  0.3363  0.9226
O  0.1681  0.8319  0.5774
O  0.1681  0.8319  0.9226
O  0.1758  0.3516  0.1697
O  0.1758  0.3516  0.3303
O  0.1758  0.8242  0.1697
O  0.1758  0.8242  0.3303
O  0.3333  0.6667  0.0044
O  0.3333  0.6667  0.4956
O  0.3363  0.1681  0.0774
O  0.3363  0.1681  0.4226
O  0.3516  0.1758  0.6697
O  0.3516  0.1758  0.8303
O  0.4816  0.5184  0.2500
O  0.4816  0.9632  0.2500
O  0.5184  0.0368  0.7500
O  0.5184  0.4816  0.7500
O  0.6484  0.8242  0.1697
O  0.6484  0.8242  0.3303
O  0.6637  0.8319  0.5774
O  0.6637  0.8319  0.9226
O  0.6667  0.3333  0.5044
O  0.6667  0.3333  0.9956
O  0.8242  0.1758  0.6697
O  0.8242  0.1758  0.8303
O  0.8242  0.6484  0.6697
O  0.8242  0.6484  0.8303
O  0.8319  0.1681  0.0774
O  0.8319  0.1681  0.4226
O  0.8319  0.6637  0.0774
O  0.8319  0.6637  0.4226
O  0.9632  0.4816  0.7500

Values from the calculation:
As for the crystal system: hexagonal. For the raw formation energy, the calculation gives -3123 meV per atom. Its space-group type is P6_3/mmc. Its raw total energy is -461.78 eV per cell. The density of states at the Fermi level is 0.000 states/eV/cell. Its total moment is 0.00 μB/atom.



Record 2
Material: Ba3YTi2O8
Method: DFT, PBE-GGA
State: optimized geometry

Cell lengths 6.0367, 6.0367, 7.7108 Å; angles 90.00, 90.00, 120.00 degrees
Sites, in units of the cell vectors:
Ba  0.0000  0.0000  0.0000
Ba  0.3333  0.6667  0.6593
Ba  0.6667  0.3333  0.3407
Y  0.0000  0.0000  0.5000
Ti  0.3333  0.6667  0.2132
Ti  0.6667  0.3333  0.7868
O  0.1702  0.3405  0.3153
O  0.1702  0.8298  0.3153
O  0.3333  0.6667  0.9807
O  0.3405  0.1702  0.6847
O  0.6595  0.8298  0.3153
O  0.6667  0.3333  0.0193
O  0.8298  0.1702  0.6847
O  0.8298  0.6595  0.6847

Values from the calculation:
As for the crystal system: trigonal. For the raw formation energy, the calculation gives -2980 meV per atom. Its space-group type is P-3m1. Its raw total energy is -109.41 eV per cell. The density of states at the Fermi level is 4.912 states/eV/cell. Its total moment is 0.00 μB/atom.



Record 3
Material: Ba2YTi3O7
Method: DFT, PBE-GGA
State: optimized geometry

Cell lengths 3.9798, 4.0042, 11.5180 Å; angles 90.00, 90.00, 90.00 degrees
Sites, in units of the cell vectors:
Ba  0.0000  0.0000  0.1751
Ba  0.0000  0.0000  0.8249
Y  0.0000  0.0000  0.5000
Ti  0.5000  0.5000  0.0000
Ti  0.5000  0.5000  0.3617
Ti  0.5000  0.5000  0.6383
O  0.0000  0.5000  0.3693
O  0.0000  0.5000  0.6307
O  0.5000  0.0000  0.0000
O  0.5000  0.0000  0.3693
O  0.5000  0.0000  0.6307
O  0.5000  0.5000  0.1723
O  0.5000  0.5000  0.8277

Values from the calculation:
As for the crystal system: orthorhombic. For the raw formation energy, the calculation gives -2804 meV per atom. Its space-group type is Pmmm. Its raw total energy is -105.16 eV per cell. The density of states at the Fermi level is 4.196 states/eV/cell. Its total moment is 0.00 μB/atom.